Material: La6Pr2Er
Method: DFT, PBE
State: relaxed

Formation energy ... 5 kJ/mol of atoms
M_tot ... 0.0 μB per formula unit
Electronic total energy ... -4.7988 eV per atom

Unit cell a=3.6839 b=3.6839 c=27.7648 alpha=90.00 beta=90.00 gamma=120.00
Last column: nearest neighbours and their distance in Å.
Fractional positions:
La 0.0000 0.0000 0.0614  7 La 3.41-3.68, 3 Pr 3.70
La 0.0000 0.0000 0.2826  9 La 3.68-3.79, 3 Pr 3.78
La 0.0000 0.0000 0.7174  9 La 3.68-3.79, 3 Pr 3.78
La 0.0000 0.0000 0.9386  7 La 3.41-3.68, 3 Pr 3.70
La 0.3333 0.6667 0.3958  3 Er 3.59, 9 La 3.68-3.79
La 0.3333 0.6667 0.6042  3 Er 3.59, 9 La 3.68-3.79
Pr 0.3333 0.6667 0.1702  6 Pr 3.68, 6 La 3.70-3.78
Pr 0.3333 0.6667 0.8298  6 Pr 3.68, 6 La 3.70-3.78
Er 0.0000 0.0000 0.5000  6 La 3.59, 6 Er 3.68